No. 1
Below is a relaxed PuMnZn2O8 crystal, with properties calculated at the PBE+U level.

Lattice parameters (Å, degrees): 5.7748 5.7748 5.7748 112.29 112.29 103.97
With the nearest neighbours (Å) after each atom.
Fractional positions:
Pu 0.2500 0.7500 0.5000  4 O 1.95
Mn 0.0000 0.0000 0.0000  4 O 1.96
Zn 0.7500 0.2500 0.5000  4 O 1.96
Zn 0.5000 0.5000 0.0000  4 O 1.93
O 0.3420 0.0399 0.3021  1 Zn 1.96, 1 Mn 1.96
O 0.2983 0.5001 0.2018  1 Zn 1.93, 1 Pu 1.95
O 0.2983 0.0965 0.7982  1 Zn 1.93, 1 Pu 1.95
O 0.7378 0.0399 0.6979  1 Zn 1.96, 1 Mn 1.96
O 0.9035 0.7017 0.2018  1 Zn 1.93, 1 Pu 1.95
O 0.9601 0.2622 0.3021  1 Zn 1.96, 1 Mn 1.96
O 0.9601 0.6580 0.6979  1 Zn 1.96, 1 Mn 1.96
O 0.4999 0.7017 0.7982  1 Zn 1.93, 1 Pu 1.95

Computed properties:
Uncorrected energy, eV per atom: -6.658

***

No. 2
Below is a relaxed PuZrMnO6 crystal, with properties calculated at the PBE+U level.

Lattice parameters (Å, degrees): 5.5603 5.5603 9.1173 90.00 90.00 120.00
With the nearest neighbours (Å) after each atom.
Fractional positions:
Pu 0.6667 0.3333 0.2500  6 O 2.08
Pu 0.3333 0.6667 0.7500  6 O 2.08
Zr 0.3333 0.6667 0.2500  6 O 2.13
Zr 0.6667 0.3333 0.7500  6 O 2.13
Mn 0.0000 0.0000 0.0000  6 O 2.28
Mn 0.0000 0.0000 0.5000  6 O 2.28
O 0.6563 0.6497 0.1333  1 Pu 2.08, 1 Zr 2.13, 1 Mn 2.28
O 0.9934 0.3437 0.1333  1 Pu 2.08, 1 Zr 2.13, 1 Mn 2.28
O 0.3437 0.9934 0.6333  1 Pu 2.08, 1 Zr 2.13, 1 Mn 2.28
O 0.0066 0.6563 0.8667  1 Pu 2.08, 1 Zr 2.13, 1 Mn 2.28
O 0.3503 0.3437 0.3667  1 Pu 2.08, 1 Zr 2.13, 1 Mn 2.28
O 0.9934 0.6497 0.3667  1 Pu 2.08, 1 Zr 2.13, 1 Mn 2.28
O 0.6497 0.9934 0.8667  1 Pu 2.08, 1 Zr 2.13, 1 Mn 2.28
O 0.6563 0.0066 0.3667  1 Pu 2.08, 1 Zr 2.13, 1 Mn 2.28
O 0.0066 0.3503 0.6333  1 Pu 2.08, 1 Zr 2.13, 1 Mn 2.28
O 0.3503 0.0066 0.1333  1 Pu 2.08, 1 Zr 2.13, 1 Mn 2.28
O 0.6497 0.6563 0.6333  1 Pu 2.08, 1 Zr 2.13, 1 Mn 2.28
O 0.3437 0.3503 0.8667  1 Pu 2.08, 1 Zr 2.13, 1 Mn 2.28

Computed properties:
Uncorrected energy, eV per atom: -9.181

***

No. 3
Below is a relaxed RbMnO3 crystal, with properties calculated at the PBE+U level.

Lattice parameters (Å, degrees): 4.2314 4.2314 4.2314 90.00 90.00 90.00
With the nearest neighbours (Å) after each atom.
Fractional positions:
Mn 0.5000 0.5000 0.5000  12 O 2.99
O 0.0000 0.5000 0.0000  2 Rb 2.12
O 0.0000 0.0000 0.5000  2 Rb 2.12
O 0.5000 0.0000 0.0000  2 Rb 2.12
Rb 0.0000 0.0000 0.0000  6 O 2.12

Computed properties:
Uncorrected energy, eV per atom: -3.895

***

Number 1 is which compound? PuMnZn2O8

***

What is the formula in the first record? PuMnZn2O8

***

uncorrected energy of number 3 (RbMnO3)? -3.895 eV per atom